Entry 1:
A PBEsol-optimized structure of AgPbSN2, computed with SCAN.

Results
* space-group type: P4/mmm
* formation energy from raw total energies: 1.342 eV per atom
* calculated density: 7.23 g/cm3
* spin magnetization: 0.663 μB/atom

Unit cell a=4.159 b=4.159 c=4.983 alpha=90.00 beta=90.00 gamma=90.00
Each line ends with the local moment (μB).
Sites, in units of the cell vectors:
Pb 0.500 0.500 0.500  -0.05
S 0.000 0.000 0.500  0.15
Ag 0.000 0.000 0.000  0.15
N 0.000 0.500 0.000  1.10
N 0.500 0.000 0.000  1.10

***

Entry 2:
A PBEsol-optimized structure of AgPbS2N, computed with SCAN.

Results
* space-group type: P4/mmm
* formation energy from raw total energies: 0.705 eV per atom
* calculated density: 6.70 g/cm3
* spin magnetization: 0.403 μB/atom

Unit cell a=3.982 b=4.949 c=4.949 alpha=90.00 beta=90.00 gamma=90.00
Each line ends with the local moment (μB).
Sites, in units of the cell vectors:
Pb 0.500 0.500 0.500  -0.01
S 0.000 0.000 0.500  0.09
S 0.000 0.500 0.000  0.09
Ag 0.000 0.000 0.000  0.09
N 0.500 0.000 0.000  1.20

***

Entry 3:
A PBEsol-optimized structure of AgPdN2, computed with SCAN.

Results
* space-group type: R-3m
* formation energy from raw total energies: 0.938 eV per atom
* calculated density: 8.19 g/cm3
* spin magnetization: 0.000 μB/atom

Unit cell a=3.044 b=3.044 c=6.373 alpha=76.18 beta=76.18 gamma=60.00
Sites, in units of the cell vectors:
Pd 0.500 0.500 0.500
Ag 0.000 0.000 0.000
N 0.890 0.890 0.330
N 0.110 0.110 0.670

***

Entry 4:
A PBEsol-optimized structure of AgTe2PdN, computed with SCAN.

Results
* space-group type: P4/mmm
* formation energy from raw total energies: 0.629 eV per atom
* calculated density: 7.39 g/cm3
* spin magnetization: 0.000 μB/atom

Unit cell a=3.591 b=5.502 c=5.502 alpha=90.00 beta=90.00 gamma=90.00
Sites, in units of the cell vectors:
Te 0.000 0.000 0.500
Te 0.000 0.500 0.000
Pd 0.000 0.000 0.000
Ag 0.500 0.500 0.500
N 0.500 0.000 0.000

***

Entry 5:
A PBEsol-optimized structure of ZrAgPdN2, computed with SCAN.

Results
* space-group type: P4/mmm
* formation energy from raw total energies: 1.393 eV per atom
* calculated density: 7.42 g/cm3
* spin magnetization: 0.001 μB/atom

Unit cell a=3.984 b=3.984 c=4.703 alpha=90.00 beta=90.00 gamma=90.00
Sites, in units of the cell vectors:
Zr 0.500 0.500 0.500
Pd 0.000 0.000 0.500
Ag 0.000 0.000 0.000
N 0.000 0.500 0.000
N 0.500 0.000 0.000

***

Entry 6:
A PBEsol-optimized structure of RbTcAg2N, computed with SCAN.

Results
* space-group type: P4/mmm
* formation energy from raw total energies: 0.501 eV per atom
* calculated density: 6.39 g/cm3
* spin magnetization: 0.272 μB/atom

Unit cell a=3.777 b=5.332 c=5.332 alpha=90.00 beta=90.00 gamma=90.00
Each line ends with the local moment (μB).
Sites, in units of the cell vectors:
Rb 0.500 0.500 0.500  -0.01
Tc 0.000 0.000 0.000  1.44
Ag 0.000 0.000 0.500  0.04
Ag 0.000 0.500 0.000  0.04
N 0.500 0.000 0.000  -0.20

***

Entry 7:
A PBEsol-optimized structure of AgRhSeN2, computed with SCAN.

Results
* space-group type: P4/mmm
* formation energy from raw total energies: 0.919 eV per atom
* calculated density: 6.89 g/cm3
* spin magnetization: 0.000 μB/atom

Unit cell a=3.728 b=3.728 c=5.510 alpha=90.00 beta=90.00 gamma=90.00
Sites, in units of the cell vectors:
Rh 0.000 0.000 0.000
Se 0.000 0.000 0.500
Ag 0.500 0.500 0.500
N 0.000 0.500 0.000
N 0.500 0.000 0.000

***

Entry 8:
A PBEsol-optimized structure of AgRhSeN2, computed with SCAN.

Results
* space-group type: P4/mmm
* formation energy from raw total energies: 1.876 eV per atom
* calculated density: 6.61 g/cm3
* spin magnetization: 0.392 μB/atom

Unit cell a=3.855 b=3.855 c=5.375 alpha=90.00 beta=90.00 gamma=90.00
Each line ends with the local moment (μB).
Sites, in units of the cell vectors:
Rh 0.500 0.500 0.500  -1.21
Se 0.000 0.000 0.500  0.15
Ag 0.000 0.000 0.000  0.15
N 0.000 0.500 0.000  1.07
N 0.500 0.000 0.000  1.07